Record 1
Here is an optimized crystal structure of Th2HSe3 from Alexandria. Energies are from PBE.

Structure (CIF):
```
data_Th2HSe3
_cell_length_a 8.1846
_cell_length_b 8.1846
_cell_length_c 10.6713
_cell_angle_alpha 114.49
_cell_angle_beta 114.49
_cell_angle_gamma 30.11
_space_group_name_H-M_alt 'P 1'
_space_group_IT_number 1
_space_group_name_Hall 'P 1'
loop_
_atom_site_label
_atom_site_fract_x
_atom_site_fract_y
_atom_site_fract_z
Th1 0.1008 0.1008 0.4425
Th2 0.3584 0.3584 0.1845
Th3 0.6416 0.6416 0.8155
Th4 0.8992 0.8992 0.5575
H1 0.0713 0.0713 0.6523
H2 0.9287 0.9287 0.3477
Se1 0.1538 0.1538 0.0021
Se2 0.2731 0.2731 0.3775
Se3 0.4467 0.4467 0.7612
Se4 0.5533 0.5533 0.2388
Se5 0.7269 0.7269 0.6225
Se6 0.8462 0.8462 0.9979
```

Summary:
**Symmetry**: C2/m (12)
**Total magnetization**: 0.000 μB/atom
**Crystal system**: monoclinic
**Energy relative to the lowest polymorph listed for this composition**: 183 meV/atom

Record 2
Here is an optimized crystal structure of K2TlAs2Pd from Alexandria. Energies are from PBE.

Structure (CIF):
```
data_K2TlAs2Pd
_cell_length_a 8.7448
_cell_length_b 8.7448
_cell_length_c 8.7448
_cell_angle_alpha 129.63
_cell_angle_beta 70.09
_cell_angle_gamma 134.64
_space_group_name_H-M_alt 'P 1'
_space_group_IT_number 1
_space_group_name_Hall 'P 1'
loop_
_atom_site_label
_atom_site_fract_x
_atom_site_fract_y
_atom_site_fract_z
K1 0.1744 0.2280 0.4023
K2 0.3256 0.7280 0.0536
K3 0.6744 0.2720 0.9464
K4 0.8256 0.7720 0.5977
Tl1 0.2500 0.7500 0.5000
Tl2 0.7500 0.2500 0.5000
As1 0.0846 0.8018 0.8864
As2 0.4154 0.3018 0.7172
As3 0.5846 0.6982 0.2828
As4 0.9154 0.1982 0.1136
Pd1 0.2500 0.2500 0.0000
Pd2 0.7500 0.7500 0.0000
```

Summary:
**Symmetry**: Ibam (72)
**Total magnetization**: 0.000 μB/atom
**Crystal system**: orthorhombic
**Raw total energy**: -41.484 eV/cell

Calculated values (states/eV per cell) of DOS at the Fermi energy for the records, taken in order: 0.15, 4.94.